No. 1
This record from the Alexandria database describes an optimized crystal structure of Sc2Ag2As. The functional is PBE.

Calculated values
symmetry	P4/mbm
ΔH_f (0 K)	-29	kJ per mole of atoms
D(E_F)	8.80	states/eV/cell
spin magnetization	0.00	μB per formula unit
DFT total energy	-4.903	eV/atom

a b c (Å): 7.138 7.138 4.248
angles (deg): 90.00 90.00 90.00
Fractional positions:
Sc 0.165 0.335 0.000
Sc 0.335 0.835 0.000
Sc 0.665 0.165 0.000
Sc 0.835 0.665 0.000
Ag 0.137 0.637 0.500
Ag 0.363 0.137 0.500
Ag 0.637 0.863 0.500
Ag 0.863 0.363 0.500
As 0.000 0.000 0.000
As 0.500 0.500 0.000


No. 2
This record from the Alexandria database describes an optimized crystal structure of Sm12Zn3H5. The functional is PBE.

Calculated values
symmetry	Ia-3d
D(E_F)	83.27	states/eV/cell
spin magnetization	0.00	μB per formula unit
DFT total energy	-4.071	eV/atom

a b c (Å): 13.535 13.535 13.535
angles (deg): 109.47 109.47 109.47
Fractional positions:
Sm 0.018 0.209 0.112
Sm 0.018 0.309 0.906
Sm 0.094 0.612 0.403
Sm 0.094 0.982 0.691
Sm 0.097 0.709 0.691
Sm 0.097 0.888 0.406
Sm 0.112 0.018 0.209
Sm 0.112 0.594 0.903
Sm 0.191 0.209 0.597
Sm 0.191 0.482 0.594
Sm 0.209 0.112 0.018
Sm 0.209 0.597 0.191
Sm 0.291 0.309 0.903
Sm 0.291 0.482 0.388
Sm 0.309 0.903 0.291
Sm 0.309 0.906 0.018
Sm 0.388 0.291 0.482
Sm 0.388 0.597 0.906
Sm 0.403 0.094 0.612
Sm 0.403 0.809 0.791
Sm 0.406 0.097 0.888
Sm 0.406 0.809 0.518
Sm 0.482 0.388 0.291
Sm 0.482 0.594 0.191
Sm 0.518 0.406 0.809
Sm 0.518 0.612 0.709
Sm 0.594 0.191 0.482
Sm 0.594 0.903 0.112
Sm 0.597 0.191 0.209
Sm 0.597 0.906 0.388
Sm 0.612 0.403 0.094
Sm 0.612 0.709 0.518
Sm 0.691 0.094 0.982
Sm 0.691 0.097 0.709
Sm 0.709 0.518 0.612
Sm 0.709 0.691 0.097
Sm 0.791 0.403 0.809
Sm 0.791 0.888 0.982
Sm 0.809 0.518 0.406
Sm 0.809 0.791 0.403
Sm 0.888 0.406 0.097
Sm 0.888 0.982 0.791
Sm 0.903 0.112 0.594
Sm 0.903 0.291 0.309
Sm 0.906 0.018 0.309
Sm 0.906 0.388 0.597
Sm 0.982 0.691 0.094
Sm 0.982 0.791 0.888
Zn 0.125 0.250 0.375
Zn 0.125 0.375 0.750
Zn 0.250 0.375 0.125
Zn 0.250 0.875 0.625
Zn 0.375 0.125 0.250
Zn 0.375 0.750 0.125
Zn 0.625 0.250 0.875
Zn 0.625 0.875 0.750
Zn 0.750 0.125 0.375
Zn 0.750 0.625 0.875
Zn 0.875 0.625 0.250
Zn 0.875 0.750 0.625
H 0.000 0.000 0.000
H 0.000 0.000 0.500
H 0.000 0.500 0.000
H 0.000 0.500 0.500
H 0.125 0.750 0.875
H 0.125 0.875 0.250
H 0.250 0.125 0.875
H 0.250 0.625 0.375
H 0.375 0.250 0.625
H 0.375 0.625 0.750
H 0.500 0.000 0.000
H 0.500 0.000 0.500
H 0.500 0.500 0.000
H 0.500 0.500 0.500
H 0.625 0.375 0.250
H 0.625 0.750 0.375
H 0.750 0.375 0.625
H 0.750 0.875 0.125
H 0.875 0.125 0.750
H 0.875 0.250 0.125


No. 3
This record from the Alexandria database describes an optimized crystal structure of Li3La2Ni2. The functional is PBE.

Calculated values
symmetry	Cmmm
ΔH_f (0 K)	-15	kJ per mole of atoms
D(E_F)	5.08	states/eV/cell
spin magnetization	0.00	μB per formula unit
DFT total energy	-4.037	eV/atom

a b c (Å): 10.880 10.880 3.818
angles (deg): 90.00 90.00 158.91
Fractional positions:
Li 0.000 0.000 0.000
Li 0.431 0.569 0.500
Li 0.569 0.431 0.500
La 0.172 0.828 0.000
La 0.828 0.172 0.000
Ni 0.285 0.715 0.500
Ni 0.715 0.285 0.500


No. 4
This record from the Alexandria database describes an optimized crystal structure of MnRe2Ni. The functional is PBE.

Calculated values
symmetry	P4/mmm
distance to the lowest polymorph of the same formula	48.2	meV per atom
ΔH_f (0 K)	6	kJ per mole of atoms
D(E_F)	3.40	states/eV/cell
spin magnetization	0.00	μB per formula unit
DFT total energy	-9.896	eV/atom

a b c (Å): 2.637 2.637 7.476
angles (deg): 90.00 90.00 90.00
Fractional positions:
Mn 0.000 0.000 0.000
Re 0.500 0.500 0.243
Re 0.500 0.500 0.757
Ni 0.000 0.000 0.500


No. 5
This record from the Alexandria database describes an optimized crystal structure of TbTmGa2Pd5. The functional is PBE.

Calculated values
symmetry	P4/mmm
ΔH_f (0 K)	-79	kJ per mole of atoms
D(E_F)	4.64	states/eV/cell
spin magnetization	0.00	μB per formula unit
DFT total energy	-5.383	eV/atom

a b c (Å): 4.188 4.188 9.257
angles (deg): 90.00 90.00 90.00
Fractional positions:
Tb 0.000 0.000 0.000
Tm 0.000 0.000 0.500
Ga 0.500 0.500 0.368
Ga 0.500 0.500 0.632
Pd 0.000 0.500 0.224
Pd 0.000 0.500 0.776
Pd 0.500 0.000 0.224
Pd 0.500 0.000 0.776
Pd 0.500 0.500 0.000


No. 6
This record from the Alexandria database describes an optimized crystal structure of Li2ScGa. The functional is PBE.

Calculated values
symmetry	I-42d
ΔH_f (0 K)	-5	kJ per mole of atoms
D(E_F)	7.94	states/eV/cell
spin magnetization	0.00	μB per formula unit
DFT total energy	-3.346	eV/atom

a b c (Å): 10.425 10.425 10.425
angles (deg): 158.15 158.15 31.10
Fractional positions:
Li 0.075 0.625 0.950
Li 0.375 0.325 0.450
Li 0.675 0.125 0.050
Li 0.875 0.925 0.550
Sc 0.250 0.750 0.500
Sc 0.500 0.500 0.000
Ga 0.000 0.000 0.000
Ga 0.750 0.250 0.500


No. 7
This record from the Alexandria database describes an optimized crystal structure of K2PuCu2Te4. The functional is PBE.

Calculated values
symmetry	C2/m
raw formation energy	-6.61	eV/f.u.
D(E_F)	13.26	states/eV/cell
spin magnetization	4.26	μB per formula unit
DFT total energy	-4.878	eV/atom

a b c (Å): 8.283 8.283 8.487
angles (deg): 108.66 108.66 30.31
Fractional positions:
K 0.133 0.133 0.059
K 0.867 0.867 0.941
Pu 0.000 0.000 0.500
Cu 0.316 0.316 0.510
Cu 0.684 0.684 0.490
Te 0.203 0.203 0.682
Te 0.477 0.477 0.739
Te 0.523 0.523 0.261
Te 0.797 0.797 0.318


No. 8
This record from the Alexandria database describes an optimized crystal structure of PtRh2Cl. The functional is PBE.

Calculated values
symmetry	Imm2
distance to the lowest polymorph of the same formula	242.4	meV per atom
raw formation energy	1.80	eV/f.u.
D(E_F)	4.90	states/eV/cell
spin magnetization	0.00	μB per formula unit
DFT total energy	-5.197	eV/atom

a b c (Å): 5.566 5.566 5.566
angles (deg): 151.18 130.46 58.33
Fractional positions:
Pt 0.000 0.000 0.000
Rh 0.522 0.522 0.000
Rh 0.753 0.253 0.500
Cl 0.280 0.780 0.500


- Which of these has the highest DFT total energy?
  Li2ScGa


- Which formula does entry 5 have?
  TbTmGa2Pd5


- What is the spin magnetization in the first record?
  0.00 μB per formula unit


- Which formula does entry 6 have?
  Li2ScGa